1.
# Pm8Te4P3Ir

A relaxed Pm8Te4P3Ir crystal (PBE, Alexandria via LeMat-Bulk).

The total moment comes out at 0.0 μB per formula unit. The density of states at the Fermi level comes out at 10.47 states/eV/f.u. Its crystal system is trigonal.

The structure belongs to space group R-3m (No. 166, hexagonal axes); the cell edges are 8.5141, 8.5141 and 21.7232 Å and the angles 90.00°, 90.00° and 120.00°. Symmetry generates all atoms from Pm at (0.0000, 0.0000, 0.2379), Pm at (0.0038, 0.5019, 0.2375), Te at (0.0000, 0.0000, 0.0000), Te at (0.0000, 0.5000, 0.0000), P at (0.0000, 0.5000, 0.5000) and Ir at (0.0000, 0.0000, 0.5000).

=====

2.
# Pm6Te3PIr2

A relaxed Pm6Te3PIr2 crystal (PBE, Alexandria via LeMat-Bulk).

The total moment comes out at 0.0 μB per formula unit. The density of states at the Fermi level comes out at 8.48 states/eV/f.u. Its crystal system is monoclinic.

The structure belongs to space group C2/m (No. 12); the cell edges are 7.361, 12.758 and 7.752 Å and the angles 90.00°, 108.68° and 90.00°. Symmetry generates all atoms from Pm at (0.233, 0.000, 0.211), Pm at (0.238, 0.331, 0.211), Te at (0.000, 0.000, 0.500), Te at (0.000, 0.335, 0.500), P at (0.000, 0.500, 0.000) and Ir at (0.000, 0.167, 0.000).

=====

Number 1: raw formation energy -1418 meV/atom. Number 2: raw formation energy -1184 meV/atom.